Compound: Ca3HgW
Source: Alexandria via LeMat-Bulk
Functional: PBE
Structure: relaxed Values from VASP.

As for the formation energy: 1025.6 meV per atom. The value obtained for the density of states at the Fermi level is 0.549 states/eV per atom.

The structure in Quantum ESPRESSO input format:
```
&SYSTEM
  ibrav = 0, nat = 5, ntyp = 3
/
ATOMIC_SPECIES
Hg 200.59 Hg.upf
Ca 40.08 Ca.upf
W 183.84 W.upf
CELL_PARAMETERS angstrom
5.716 0.000 0.000
0.000 5.716 0.000
0.000 0.000 5.716
ATOMIC_POSITIONS angstrom
Hg 0.000 0.000 0.000
Ca 0.000 0.000 2.858
Ca 0.000 2.858 0.000
W 2.858 2.858 2.858
Ca 2.858 0.000 0.000
```

Compound: CaHgW
Source: Alexandria via LeMat-Bulk
Functional: PBE
Structure: relaxed Values from VASP.

As for the formation energy: 597.1 meV per atom. The value obtained for the density of states at the Fermi level is 0.438 states/eV per atom.

The structure in Quantum ESPRESSO input format:
```
&SYSTEM
  ibrav = 0, nat = 3, ntyp = 3
/
ATOMIC_SPECIES
Hg 200.59 Hg.upf
Ca 40.08 Ca.upf
W 183.84 W.upf
CELL_PARAMETERS angstrom
-5.800 4.814 1.005
-6.456 2.735 2.944
1.033 1.679 2.151
ATOMIC_POSITIONS angstrom
Hg -3.318 3.600 2.740
Ca 1.010 1.689 2.154
W -7.883 5.617 3.358
```

Compound: CaHg2W
Source: Alexandria via LeMat-Bulk
Functional: PBE
Structure: relaxed Values from VASP.

As for the formation energy: 461.3 meV per atom. The value obtained for the density of states at the Fermi level is 0.466 states/eV per atom.

The structure in Quantum ESPRESSO input format:
```
&SYSTEM
  ibrav = 0, nat = 4, ntyp = 3
/
ATOMIC_SPECIES
W 183.84 W.upf
Hg 200.59 Hg.upf
Ca 40.08 Ca.upf
CELL_PARAMETERS angstrom
5.115 0.000 0.000
0.000 3.179 -0.020
0.000 0.032 5.115
ATOMIC_POSITIONS angstrom
W 0.000 2.027 1.909
Hg 2.558 0.402 1.912
Ca 2.558 2.002 4.457
Hg 0.000 0.417 4.480
```

Compound: Ca2HgW
Source: Alexandria via LeMat-Bulk
Functional: PBE
Structure: relaxed Values from VASP.

As for the formation energy: 554.9 meV per atom. The value obtained for the density of states at the Fermi level is 1.318 states/eV per atom.

The structure in Quantum ESPRESSO input format:
```
&SYSTEM
  ibrav = 0, nat = 4, ntyp = 3
/
ATOMIC_SPECIES
Ca 40.08 Ca.upf
Hg 200.59 Hg.upf
W 183.84 W.upf
CELL_PARAMETERS angstrom
-6.153 -0.244 -2.252
-3.215 -5.646 -0.882
3.023 4.387 3.822
ATOMIC_POSITIONS angstrom
Ca -3.680 0.742 0.078
Ca -0.240 -0.151 -0.080
Hg -4.452 -2.799 -1.489
W -2.658 -2.240 0.613
```

Compound: CaHg2W
Source: Alexandria via LeMat-Bulk
Functional: PBE
Structure: relaxed Values from VASP.

As for the formation energy: 498.1 meV per atom. The value obtained for the density of states at the Fermi level is 0.521 states/eV per atom.

The structure in Quantum ESPRESSO input format:
```
&SYSTEM
  ibrav = 0, nat = 4, ntyp = 3
/
ATOMIC_SPECIES
W 183.84 W.upf
Hg 200.59 Hg.upf
Ca 40.08 Ca.upf
CELL_PARAMETERS angstrom
5.779 -0.002 0.000
4.969 2.951 0.000
1.824 0.500 4.981
ATOMIC_POSITIONS angstrom
W 6.436 1.766 2.967
Hg 10.882 2.986 0.383
Ca 2.954 0.810 0.871
Hg 9.333 2.561 3.251
```

Compound: Ca2HgW
Source: Alexandria via LeMat-Bulk
Functional: PBE
Structure: relaxed Values from VASP.

As for the formation energy: 441.6 meV per atom. The value obtained for the density of states at the Fermi level is 1.075 states/eV per atom.

The structure in Quantum ESPRESSO input format:
```
&SYSTEM
  ibrav = 0, nat = 4, ntyp = 3
/
ATOMIC_SPECIES
Ca 40.08 Ca.upf
W 183.84 W.upf
Hg 200.59 Hg.upf
CELL_PARAMETERS angstrom
-0.769 2.880 0.784
-0.195 -0.864 2.952
9.549 2.204 1.274
ATOMIC_POSITIONS angstrom
Ca 4.866 1.123 0.649
W 6.680 2.661 2.824
Ca 9.458 2.183 1.262
Hg 1.905 1.559 2.187
```